A | A plane-wave DFT calculation with PBE was carried out for a relaxed structure of GdScPb.

Values from the calculation:
N(E_F)   4.0 states/eV per cell
Size of the total moment   7.2 μB per cell
Space group   P3m1

extended XYZ file:
```
3
Lattice="3.821 0.000 0.000 0.000 5.040 0.000 0.000 -2.520 4.365" Properties=species:S:1:pos:R:3 pbc="T T T"
Gd 2.549 0.000 2.910
Sc 0.641 2.520 1.455
Pb 0.631 0.000 0.000
```

B | A plane-wave DFT calculation with PBE was carried out for a relaxed structure of GdScPb.

Values from the calculation:
N(E_F)   2.5 states/eV per cell
Size of the total moment   8.8 μB per cell
Space group   I4mm

extended XYZ file:
```
3
Lattice="-1.673 -2.450 2.599 -2.100 -1.648 -2.904 5.706 -1.408 -0.648" Properties=species:S:1:pos:R:3 pbc="T T T"
Sc -0.892 -2.949 -0.361
Gd 1.528 -5.139 -0.868
Pb 2.085 -1.887 -0.437
```

Looking at the structures above, which would you pick as the most stable? I would pick B.